## ThIrPd (PBE)

Data for crystalline ThIrPd at its relaxed geometry.

Lattice parameters (Å, degrees): 5.4861 4.5355 5.5902 90.00 105.93 90.00
Positions (direct):
Th 0.1998 0.2500 0.3694
Th 0.8002 0.7500 0.6306
Ir 0.1123 0.2500 0.8298
Ir 0.8877 0.7500 0.1702
Pd 0.3781 0.7500 0.0963
Pd 0.6219 0.2500 0.9037

Summary:
Energy relative to the lowest polymorph listed for this composition in kJ/mol of atoms: 1.4
DFT total energy in eV per formula unit: -23.270
Mass density in g cm⁻³: 13.2
Size of the total moment in Bohr magnetons per cell: 0.000